# 1
VASP calculation (PBE-GGA) on a relaxed structure of DyErAl2.

**Energy of formation**: -0.396 eV/atom
**Volume**: 22.9 Å³/atom
**DOS at the Fermi energy**: 0.40 states/eV per atom
**Symmetry**: P4/mmm (123)

Unit cell a=3.581 b=3.581 c=7.156 alpha=90.00 beta=90.00 gamma=90.00
Fractional coordinates of all 4 atoms:
Dy 0.000 0.000 0.000
Er 0.000 0.000 0.500
Al 0.500 0.500 0.254
Al 0.500 0.500 0.746

# 2
VASP calculation (PBE-GGA) on a relaxed structure of YCr2Pb.

**Energy of formation**: 0.707 eV/atom
**Volume**: 23.2 Å³/atom
**DOS at the Fermi energy**: 0.82 states/eV per atom
**Symmetry**: R-3m (166)

Unit cell a=10.049 b=10.049 c=10.049 alpha=18.88 beta=18.88 gamma=18.88
Fractional coordinates of all 4 atoms:
Y 0.000 0.000 0.000
Cr 0.250 0.250 0.250
Cr 0.750 0.750 0.750
Pb 0.500 0.500 0.500

# 3
VASP calculation (PBE-GGA) on a relaxed structure of ZnTcBC2.

**Energy of formation**: 2.043 eV/atom
**Volume**: 15.5 Å³/atom
**DOS at the Fermi energy**: 0.43 states/eV per atom
**Symmetry**: P4/mmm (123)

Unit cell a=3.888 b=3.888 c=5.126 alpha=90.00 beta=90.00 gamma=90.00
Fractional coordinates of all 5 atoms:
Zn 0.000 0.000 0.000
Tc 0.000 0.000 0.500
B 0.500 0.500 0.000
C 0.000 0.500 0.500
C 0.500 0.000 0.500

# 4
VASP calculation (PBE-GGA) on a relaxed structure of HoPaIrOs.

**Energy of formation**: -0.467 eV/atom
**Volume**: 20.3 Å³/atom
**DOS at the Fermi energy**: 1.07 states/eV per atom
**Symmetry**: F-43m (216)

Unit cell a=4.862 b=4.862 c=4.862 alpha=60.00 beta=60.00 gamma=60.00
Fractional coordinates of all 4 atoms:
Ho 0.000 0.000 0.000
Pa 0.500 0.500 0.500
Ir 0.750 0.750 0.750
Os 0.250 0.250 0.250

# 5
VASP calculation (PBE-GGA) on a relaxed structure of CaAcTeP.

**Volume**: 32.0 Å³/atom
**Symmetry**: R3m (160)
**E_form (uncorrected)**: -1.5158 eV per atom

Unit cell a=7.806 b=7.806 c=7.806 alpha=33.36 beta=33.36 gamma=33.36
Fractional coordinates of all 4 atoms:
Ca 0.000 0.000 0.000
Ac 0.521 0.521 0.521
Te 0.754 0.754 0.754
P 0.260 0.260 0.260

# 6
VASP calculation (PBE-GGA) on a relaxed structure of Ba8As3RhCl4.

**Volume**: 36.9 Å³/atom
**Symmetry**: C2/m (12)
**E_form (uncorrected)**: -1.5395 eV per atom

Unit cell a=9.382 b=9.382 c=9.457 alpha=119.76 beta=119.76 gamma=60.02
Fractional coordinates of all 16 atoms:
Ba 0.236 0.236 0.722
Ba 0.236 0.750 0.721
Ba 0.250 0.764 0.279
Ba 0.257 0.257 0.270
Ba 0.743 0.743 0.730
Ba 0.750 0.236 0.721
Ba 0.764 0.250 0.279
Ba 0.764 0.764 0.278
As 0.000 0.500 0.500
As 0.500 0.000 0.500
As 0.500 0.500 0.500
Rh 0.000 0.000 0.500
Cl 0.000 0.000 0.000
Cl 0.000 0.500 0.000
Cl 0.500 0.000 0.000
Cl 0.500 0.500 0.000

# 7
VASP calculation (PBE-GGA) on a relaxed structure of YCr2Pb.

**Energy of formation**: 0.221 eV/atom
**Volume**: 20.5 Å³/atom
**DOS at the Fermi energy**: 0.85 states/eV per atom
**Symmetry**: Pm (6)

Unit cell a=3.284 b=3.273 c=7.643 alpha=90.00 beta=90.01 gamma=90.00
Fractional coordinates of all 4 atoms:
Y 0.000 0.000 0.000
Cr 0.001 0.000 0.410
Cr 0.501 0.500 0.278
Pb 0.502 0.500 0.672

# 8
VASP calculation (PBE-GGA) on a relaxed structure of Hf6Co2Pd.

**Energy of formation**: -0.347 eV/atom
**Volume**: 18.9 Å³/atom
**DOS at the Fermi energy**: 0.88 states/eV per atom
**Symmetry**: Immm (71)

Unit cell a=7.640 b=7.640 c=7.640 alpha=114.25 beta=111.94 gamma=102.46
Fractional coordinates of all 18 atoms:
Hf 0.034 0.231 0.802
Hf 0.187 0.301 0.488
Hf 0.187 0.699 0.887
Hf 0.330 0.025 0.695
Hf 0.330 0.634 0.305
Hf 0.429 0.231 0.198
Hf 0.571 0.769 0.802
Hf 0.670 0.366 0.695
Hf 0.670 0.975 0.305
Hf 0.813 0.301 0.113
Hf 0.813 0.699 0.512
Hf 0.966 0.769 0.198
Co 0.131 0.631 0.500
Co 0.341 0.000 0.341
Co 0.659 0.000 0.659
Co 0.869 0.369 0.500
Pd 0.000 0.000 0.000
Pd 0.500 0.500 0.000